Entry from the Alexandria database: a relaxed structure of Pr12Sb6N (PBE).

Geometry as POSCAR:
```
Pr12Sb6N
1.0
6.6624 3.8466 4.1613
-6.6624 3.8466 4.1613
0.0000 -7.6931 4.1613
Pr Sb N
12 6 1
direct
0.0085 0.9371 0.7033
0.0629 0.2967 0.9915
0.1901 0.5540 0.4257
0.2967 0.9915 0.0629
0.4257 0.1901 0.5540
0.4460 0.5743 0.8099
0.5540 0.4257 0.1901
0.5743 0.8099 0.4460
0.7033 0.0085 0.9371
0.8099 0.4460 0.5743
0.9371 0.7033 0.0085
0.9915 0.0629 0.2967
0.1193 0.2953 0.6416
0.2953 0.6416 0.1193
0.3584 0.8807 0.7047
0.6416 0.1193 0.2953
0.7047 0.3584 0.8807
0.8807 0.7047 0.3584
0.0000 0.0000 0.0000
```

Calculated values
Formation energy from raw total energies   -0.77 eV per atom
Uncorrected energy   -5.531 eV per atom